# 1
# Na4Pb5Au2

A relaxed structure of Na4Pb5Au2 (PBE-GGA, Alexandria via LeMat-Bulk).

Output
total energy = -2.923 eV/atom
calculated density = 8.58 Mg/m³

Lattice parameters (Å, degrees): 3.601 8.052 10.194 94.78 90.00 90.00
Element x y z (fractional)
Na  0.500  0.811  0.136
Na  0.500  0.189  0.864
Na  0.500  0.227  0.436
Na  0.500  0.773  0.564
Pb  0.000  0.551  0.323
Pb  0.000  0.449  0.677
Pb  0.000  0.841  0.849
Pb  0.000  0.500  0.000
Pb  0.000  0.159  0.151
Au  0.000  0.925  0.365
Au  0.000  0.075  0.635

***

# 2
# CsTh2Ag2Se6

A relaxed structure of CsTh2Ag2Se6 (PBE-GGA, Alexandria via LeMat-Bulk).

Output
calculated density = 5.82 Mg/m³
formation energy (no corrections) = -1.06 eV/atom

Lattice parameters (Å, degrees): 7.970 7.353 8.805 121.01 84.15 65.29
Element x y z (fractional)
Th  0.822  0.325  0.822
Th  0.178  0.675  0.178
Se  0.165  0.789  0.547
Se  0.835  0.211  0.453
Se  0.969  0.397  0.123
Se  0.573  0.192  0.947
Se  0.031  0.603  0.877
Se  0.427  0.808  0.053
Ag  0.214  0.844  0.852
Ag  0.786  0.156  0.148
Cs  0.500  0.000  0.500

***

# 3
# LiPrLuSn

A relaxed structure of LiPrLuSn (PBE-GGA, Alexandria via LeMat-Bulk).

Output
total energy = -4.191 eV/atom
calculated density = 7.07 Mg/m³

Lattice parameters (Å, degrees): 5.273 5.273 5.273 60.00 60.00 60.00
Element x y z (fractional)
Li  0.750  0.750  0.750
Lu  0.000  0.000  0.000
Pr  0.500  0.500  0.500
Sn  0.250  0.250  0.250

***

Q: Which formula does entry 2 have?
A: CsTh2Ag2Se6